Entry 1:
First-principles (PBE-GGA) data for a relaxed Mg2ScCl crystal, as listed in Alexandria via LeMat-Bulk.

As for the symmetry: R3m. The density of states at the Fermi level is 1.018 states/eV/atom. The calculation puts the formation energy without anion corrections at -0.58 eV per atom. As for the volume: 24.75 Å³/atom. The energy above the lowest structure with this stoichiometry comes out at 0.000 eV per atom.

a b c (Å): 10.308 10.308 10.308
angles (deg): 18.76 18.76 18.76
Site moments in Bohr magnetons follow the coordinates.
Atoms (fractional coordinates):
Cl 0.771 0.771 0.771  0.00
Mg 0.993 0.993 0.993  0.00
Mg 0.241 0.241 0.241  0.00
Sc 0.494 0.494 0.494  0.08

---

Entry 2:
First-principles (PBE-GGA) data for a relaxed Mg2ScTlCl8 crystal, as listed in Alexandria via LeMat-Bulk.

As for the symmetry: P-1. The density of states at the Fermi level is 0.000 states/eV/atom. The calculation puts the formation energy without anion corrections at -1.74 eV per atom. As for the volume: 28.09 Å³/atom.

a b c (Å): 6.375 6.374 8.800
angles (deg): 78.27 78.33 77.45
Atoms (fractional coordinates):
Mg 0.449 0.449 0.719
Mg 0.551 0.551 0.281
Sc 0.000 0.000 0.000
Tl 0.000 0.000 0.500
Cl 0.196 0.749 0.211
Cl 0.743 0.746 0.040
Cl 0.752 0.198 0.210
Cl 0.804 0.251 0.789
Cl 0.257 0.254 0.960
Cl 0.248 0.802 0.790
Cl 0.666 0.668 0.489
Cl 0.334 0.332 0.511

---

Entry 3:
First-principles (PBE-GGA) data for a relaxed MgSeCl2 crystal, as listed in Alexandria via LeMat-Bulk.

As for the symmetry: P2/m. The density of states at the Fermi level is 0.359 states/eV/atom. The calculation puts the formation energy without anion corrections at -0.85 eV per atom. As for the volume: 29.15 Å³/atom. The energy above the lowest structure with this stoichiometry comes out at 0.133 eV per atom.

a b c (Å): 3.153 3.213 11.719
angles (deg): 79.19 90.00 90.00
Atoms (fractional coordinates):
Cl 0.000 0.019 0.119
Cl 0.000 0.481 0.381
Mg 0.500 0.250 0.250
Se 0.500 0.750 0.750